No. 1
## LiAcThAu (PBE)

Data for an optimized crystal structure of LiAcThAu.

```
data_LiAcThAu
_chemical_formula_sum 'Li4 Ac4 Th4 Au4'
_symmetry_space_group_name_H-M 'F -4 3 m'
_symmetry_Int_Tables_number 216
_symmetry_space_group_name_Hall 'F -4 2 3'
_cell_length_a 7.637
_cell_length_b 7.637
_cell_length_c 7.637
_cell_angle_alpha 90.00
_cell_angle_beta 90.00
_cell_angle_gamma 90.00
loop_
_atom_site_label
_atom_site_type_symbol
_atom_site_fract_x
_atom_site_fract_y
_atom_site_fract_z
Li1 Li 0.000 0.000 0.000
Ac1 Ac 0.250 0.250 0.750
Th1 Th 0.250 0.250 0.250
Au1 Au 0.000 0.000 0.500
```

ΔE_f in meV per atom: -151


No. 2
## RhSNF2 (PBE)

Data for an optimized crystal structure of RhSNF2.

```
data_RhSNF2
_chemical_formula_sum 'Rh1 S1 N1 F2'
_symmetry_space_group_name_H-M 'P 4/m m m'
_symmetry_Int_Tables_number 123
_symmetry_space_group_name_Hall '-P 4 2'
_cell_length_a 4.612
_cell_length_b 4.612
_cell_length_c 3.262
_cell_angle_alpha 90.00
_cell_angle_beta 90.00
_cell_angle_gamma 90.00
loop_
_atom_site_label
_atom_site_type_symbol
_atom_site_fract_x
_atom_site_fract_y
_atom_site_fract_z
Rh1 Rh 0.000 0.000 0.000
S1 S 0.500 0.500 0.500
N1 N 0.500 0.500 0.000
F1 F 0.000 0.500 0.500
```

E above lowest polymorph in kJ/mol of formula units: 126


No. 3
## PrSmAlIn (PBE)

Data for an optimized crystal structure of PrSmAlIn.

```
data_PrSmAlIn
_chemical_formula_sum 'Pr4 Sm4 Al4 In4'
_symmetry_space_group_name_H-M 'F -4 3 m'
_symmetry_Int_Tables_number 216
_symmetry_space_group_name_Hall 'F -4 2 3'
_cell_length_a 7.597
_cell_length_b 7.597
_cell_length_c 7.597
_cell_angle_alpha 90.00
_cell_angle_beta 90.00
_cell_angle_gamma 90.00
loop_
_atom_site_label
_atom_site_type_symbol
_atom_site_fract_x
_atom_site_fract_y
_atom_site_fract_z
Pr1 Pr 0.000 0.000 0.000
Sm1 Sm 0.000 0.000 0.500
Al1 Al 0.250 0.250 0.750
In1 In 0.250 0.250 0.250
```

ΔE_f in meV per atom: -409
E above lowest polymorph in kJ/mol of formula units: 4